Sc4Al3Ir | PBE-GGA | optimized geometry Values from VASP.

Cell and atoms, written as Quantum ESPRESSO input:
```
&SYSTEM
  ibrav = 0, nat = 8, ntyp = 3
/
ATOMIC_SPECIES
Sc 44.96 Sc.upf
Al 26.98 Al.upf
Ir 192.22 Ir.upf
ATOMIC_POSITIONS angstrom
Sc 0.000 0.000 0.000
Sc 0.000 0.000 4.589
Sc 0.000 2.324 2.175
Sc 0.000 2.324 7.003
Al 1.739 0.000 2.287
Al 1.739 0.000 6.891
Al 1.739 2.324 4.589
Ir 1.739 2.324 0.000
CELL_PARAMETERS angstrom
3.479 0.000 0.000
0.000 4.648 0.000
0.000 0.000 9.178
```

Properties
* D(E_F): 2.51 states/eV/cell
* symmetry: Pmmm
* uncorrected energy: -6.286 eV/atom